Here is a geometry-optimized RbNbCrO4 structure from Alexandria. Energies are from PBE+U.

Lattice parameters (Å, degrees): 5.9986 6.2897 7.5159 78.09 105.07 86.25
Closest atoms and distances in Å follow each position.
Atoms (fractional coordinates):
Rb1 0.3030 0.2455 0.0690  4 O 2.82-3.03
Rb2 0.6970 0.7545 0.9310  4 O 2.82-3.03
O1 0.8317 0.0638 0.5798  1 Nb 1.96, 2 Cr 2.04-2.08
O2 0.9723 0.5964 0.3080  1 Nb 1.93, 1 Cr 2.08
O3 0.1683 0.9362 0.4202  1 Nb 1.96, 2 Cr 2.04-2.08
O4 0.6703 0.2429 0.8842  1 Nb 1.82
O5 0.3297 0.7571 0.1158  1 Nb 1.82
O6 0.0277 0.4036 0.6920  1 Nb 1.93, 1 Cr 2.08
O7 0.6069 0.6565 0.5428  1 Cr 2.04, 2 Nb 2.08
O8 0.3931 0.3435 0.4572  1 Cr 2.04, 2 Nb 2.08
Cr1 0.8767 0.7992 0.4699  4 O 2.04-2.08
Cr2 0.1233 0.2008 0.5301  4 O 2.04-2.08
Nb1 0.7163 0.3233 0.6510  3 O 1.82-1.96
Nb2 0.2837 0.6767 0.3490  3 O 1.82-1.96

Summary:
**Size of the total moment**: 8.000 μB/cell
**Raw total energy**: -106.79 eV/cell